No. 1
## BeTl2In (GGA-PBE)

Data for an optimized crystal structure of BeTl2In.

Its polymorph energy (0 for the lowest one) is 238 meV per atom.

It has space group Fm-3m (No. 225), with a = 7.372 Å, b = 7.372 Å, c = 7.372 Å, α = 90.00°, β = 90.00° and γ = 90.00°. The distinct sites, in fractional coordinates, are Be at (0.000, 0.000, 0.000), Tl at (0.250, 0.250, 0.250) and In at (0.000, 0.000, 0.500).

No. 2
## Be2TlIn (GGA-PBE)

Data for an optimized crystal structure of Be2TlIn.

Its polymorph energy (0 for the lowest one) is 76 meV per atom.

It has space group P4mm (No. 99), with a = 2.976 Å, b = 2.976 Å, c = 8.826 Å, α = 90.00°, β = 90.00° and γ = 90.00°. The distinct sites, in fractional coordinates, are Be at (0.000, 0.000, 0.000), Be at (0.500, 0.500, 0.088), Tl at (0.500, 0.500, 0.727) and In at (0.000, 0.000, 0.342).

No. 3
## BeTl2In (GGA-PBE)

Data for an optimized crystal structure of BeTl2In.

Its polymorph energy (0 for the lowest one) is 100 meV per atom.

It has space group Imm2 (No. 44), with a = 3.195 Å, b = 5.145 Å, c = 12.038 Å, α = 90.00°, β = 90.00° and γ = 90.00°. The distinct sites, in fractional coordinates, are Be at (0.000, 0.000, 0.000), Tl at (0.000, 0.000, 0.497), Tl at (0.000, 0.500, 0.304) and In at (0.000, 0.500, 0.683).

No. 4
## BeTlIn (GGA-PBE)

Data for an optimized crystal structure of BeTlIn.

It has space group Fmm2 (No. 42), with a = 4.296 Å, b = 4.983 Å, c = 12.306 Å, α = 90.00°, β = 90.00° and γ = 90.00°. The distinct sites, in fractional coordinates, are Be at (0.000, 0.000, 0.000), Tl at (0.000, 0.000, 0.655) and In at (0.000, 0.000, 0.376).

No. 5
## BeTlIn3 (GGA-PBE)

Data for an optimized crystal structure of BeTlIn3.

Its polymorph energy (0 for the lowest one) is 765 meV per atom.

It has space group Pm-3m (No. 221), with a = 5.762 Å, b = 5.762 Å, c = 5.762 Å, α = 90.00°, β = 90.00° and γ = 90.00°. The distinct sites, in fractional coordinates, are Be at (0.000, 0.000, 0.000), Tl at (0.500, 0.500, 0.500) and In at (0.000, 0.500, 0.500).

No. 6
## BeTl4In (GGA-PBE)

Data for an optimized crystal structure of BeTl4In.

It has space group F-43m (No. 216), with a = 9.059 Å, b = 9.059 Å, c = 9.059 Å, α = 90.00°, β = 90.00° and γ = 90.00°. The distinct sites, in fractional coordinates, are Be at (0.000, 0.000, 0.000), Tl at (0.125, 0.125, 0.375) and In at (0.250, 0.250, 0.750).

No. 7
## BeTlIn (GGA-PBE)

Data for an optimized crystal structure of BeTlIn.

It has space group P1 (No. 1), with a = 4.002 Å, b = 5.025 Å, c = 6.659 Å, α = 94.86°, β = 90.40° and γ = 90.01°. The distinct sites, in fractional coordinates, are Be at (0.000, 0.000, 0.000), Be at (0.500, 0.201, 0.036), Tl at (0.498, 0.897, 0.663), Tl at (0.501, 0.730, 0.185), In at (0.001, 0.284, 0.358) and In at (0.998, 0.443, 0.827).

No. 8
## BeTl2In (GGA-PBE)

Data for an optimized crystal structure of BeTl2In.

Its polymorph energy (0 for the lowest one) is 108 meV per atom.

It has space group R-3m (No. 166, hexagonal axes), with a = 3.7710 Å, b = 3.7710 Å, c = 24.2244 Å, α = 90.00°, β = 90.00° and γ = 120.00°. The distinct sites, in fractional coordinates, are Be at (0.0000, 0.0000, 0.0000), Tl at (0.0000, 0.0000, 0.2689) and In at (0.0000, 0.0000, 0.5000).

No. 9
## BeTlIn (GGA-PBE)

Data for an optimized crystal structure of BeTlIn.

It has space group Cmcm (No. 63), with a = 5.138 Å, b = 7.145 Å, c = 7.383 Å, α = 90.00°, β = 90.00° and γ = 90.00°. The distinct sites, in fractional coordinates, are Be at (0.000, 0.244, 0.250), Tl at (0.000, 0.116, 0.750) and In at (0.000, 0.500, 0.000).

No. 10
## Be3TlIn (GGA-PBE)

Data for an optimized crystal structure of Be3TlIn.

Its polymorph energy (0 for the lowest one) is 0 meV per atom.

It has space group Pm-3m (No. 221), with a = 4.666 Å, b = 4.666 Å, c = 4.666 Å, α = 90.00°, β = 90.00° and γ = 90.00°. The distinct sites, in fractional coordinates, are Be at (0.000, 0.000, 0.500), Tl at (0.500, 0.500, 0.500) and In at (0.000, 0.000, 0.000).

No. 11
## Be2TlIn (GGA-PBE)

Data for an optimized crystal structure of Be2TlIn.

Its polymorph energy (0 for the lowest one) is 282 meV per atom.

It has space group Pmmm (No. 47), with a = 3.020 Å, b = 3.920 Å, c = 6.431 Å, α = 90.00°, β = 90.00° and γ = 90.00°. The distinct sites, in fractional coordinates, are Be at (0.000, 0.000, 0.178), Tl at (0.500, 0.500, 0.500) and In at (0.500, 0.500, 0.000).

No. 12
## BeTl2In2 (GGA-PBE)

Data for an optimized crystal structure of BeTl2In2.

Its polymorph energy (0 for the lowest one) is 98 meV per atom.

It has space group P4/mbm (No. 127), with a = 6.813 Å, b = 6.813 Å, c = 5.711 Å, α = 90.00°, β = 90.00° and γ = 90.00°. The distinct sites, in fractional coordinates, are Be at (0.000, 0.000, 0.000), Tl at (0.170, 0.330, 0.000) and In at (0.164, 0.664, 0.500).

No. 13
## BeTl2In (GGA-PBE)

Data for an optimized crystal structure of BeTl2In.

Its polymorph energy (0 for the lowest one) is 45 meV per atom.

It has space group Cmmm (No. 65), with a = 4.878 Å, b = 12.291 Å, c = 3.521 Å, α = 90.00°, β = 90.00° and γ = 90.00°. The distinct sites, in fractional coordinates, are Be at (0.000, 0.000, 0.000), Tl at (0.000, 0.167, 0.500) and In at (0.000, 0.500, 0.000).

No. 14
## BeTl2In (GGA-PBE)

Data for an optimized crystal structure of BeTl2In.

Its polymorph energy (0 for the lowest one) is 66 meV per atom.

It has space group R3m (No. 160, hexagonal axes), with a = 3.4873 Å, b = 3.4873 Å, c = 27.9552 Å, α = 90.00°, β = 90.00° and γ = 120.00°. The distinct sites, in fractional coordinates, are Be at (0.0000, 0.0000, 0.0000), Tl at (0.0000, 0.0000, 0.5042), Tl at (0.0000, 0.0000, 0.7352) and In at (0.0000, 0.0000, 0.2691).

No. 15
## BeTl2In (GGA-PBE)

Data for an optimized crystal structure of BeTl2In.

Its polymorph energy (0 for the lowest one) is 34 meV per atom.

It has space group C2/m (No. 12), with a = 15.481 Å, b = 3.244 Å, c = 4.231 Å, α = 90.00°, β = 105.74° and γ = 90.00°. The distinct sites, in fractional coordinates, are Be at (0.000, 0.000, 0.000), Tl at (0.171, 0.500, 0.171) and In at (0.000, 0.500, 0.500).

No. 16
## BeTlIn (GGA-PBE)

Data for an optimized crystal structure of BeTlIn.

It has space group P1 (No. 1), with a = 4.219 Å, b = 4.704 Å, c = 7.031 Å, α = 89.33°, β = 72.98° and γ = 89.63°. The distinct sites, in fractional coordinates, are Be at (0.000, 0.000, 0.000), Be at (0.000, 0.500, 0.000), Tl at (0.193, 0.250, 0.623), Tl at (0.806, 0.747, 0.376), In at (0.423, 0.248, 0.154) and In at (0.577, 0.751, 0.846).

No. 17
## BeTl2In (GGA-PBE)

Data for an optimized crystal structure of BeTl2In.

Its polymorph energy (0 for the lowest one) is 288 meV per atom.

It has space group I-42d (No. 122), with a = 6.391 Å, b = 6.391 Å, c = 12.297 Å, α = 90.00°, β = 90.00° and γ = 90.00°. The distinct sites, in fractional coordinates, are Be at (0.000, 0.000, 0.000), Tl at (0.141, 0.250, 0.125) and In at (0.000, 0.000, 0.500).

No. 18
## Be2TlIn (GGA-PBE)

Data for an optimized crystal structure of Be2TlIn.

Its polymorph energy (0 for the lowest one) is 350 meV per atom.

It has space group I-4m2 (No. 119), with a = 3.928 Å, b = 3.928 Å, c = 9.524 Å, α = 90.00°, β = 90.00° and γ = 90.00°. The distinct sites, in fractional coordinates, are Be at (0.000, 0.000, 0.000), Be at (0.000, 0.500, 0.250), Tl at (0.000, 0.000, 0.500) and In at (0.000, 0.500, 0.750).

No. 19
## BeTl2In2 (GGA-PBE)

Data for an optimized crystal structure of BeTl2In2.

Its polymorph energy (0 for the lowest one) is 0 meV per atom.

It has space group P4/mbm (No. 127), with a = 6.788 Å, b = 6.788 Å, c = 5.664 Å, α = 90.00°, β = 90.00° and γ = 90.00°. The distinct sites, in fractional coordinates, are Be at (0.000, 0.000, 0.000), Tl at (0.171, 0.329, 0.500) and In at (0.160, 0.660, 0.000).

No. 20
## Be2TlIn (GGA-PBE)

Data for an optimized crystal structure of Be2TlIn.

Its polymorph energy (0 for the lowest one) is 145 meV per atom.

It has space group P2/m (No. 10), with a = 3.931 Å, b = 3.236 Å, c = 6.171 Å, α = 90.00°, β = 91.22° and γ = 90.00°. The distinct sites, in fractional coordinates, are Be at (0.009, 0.000, 0.170), Tl at (0.000, 0.500, 0.500) and In at (0.500, 0.500, 0.000).

Let's list energy of formation from the pure elements in order: 0.540; 0.501; 0.403; 0.489; 1.022; 0.594; 0.311; 0.410; 0.506; 1.071; 0.707; 0.384; 0.348; 0.369; 0.336; 0.269; 0.591; 0.774; 0.286; 0.569 eV per atom.
Let's list Fermi-level density of states in order: 10.65; 1.59; 2.89; 3.65; 2.19; 18.23; 1.69; 3.43; 5.43; 2.39; 1.38; 4.72; 3.26; 3.88; 3.07; 2.05; 13.38; 3.47; 2.43; 1.27 states/eV/cell.